Here is a geometry-optimized MgVAs3 structure from Alexandria via LeMat-Bulk. Energies are from GGA-PBE.

Output
* magnetization: 0.0 Bohr magnetons per cell
* E_form: 97 meV per atom
* symmetry: Pm-3m

```
data_MgVAs3
_cell_length_a 4.774
_cell_length_b 4.774
_cell_length_c 4.774
_cell_angle_alpha 90.00
_cell_angle_beta 90.00
_cell_angle_gamma 90.00
_symmetry_space_group_name_H-M 'P 1'
_symmetry_Int_Tables_number 1
_symmetry_space_group_name_Hall 'P 1'
loop_
_atom_site_label
_atom_site_type_symbol
_atom_site_fract_x
_atom_site_fract_y
_atom_site_fract_z
As1 As 0.000 0.500 0.000
As2 As 0.000 0.000 0.500
As3 As 0.500 0.000 0.000
Mg1 Mg 0.500 0.500 0.500
V1 V 0.000 0.000 0.000
```